LaNd3Au4 | PBE | relaxed

Cell lengths 6.471, 6.471, 6.471 Å; angles 109.47, 109.47, 109.47 degrees
Element x y z (fractional)
Au 0.000 0.000 0.500
Au 0.500 0.500 0.500
Au 0.500 0.000 0.000
Au 0.000 0.500 0.000
Nd 0.000 0.500 0.500
Nd 0.500 0.000 0.500
Nd 0.500 0.500 0.000
La 0.000 0.000 0.000

Properties
Its energy relative to the elements is -0.7604 eV per atom. As for the symmetry: Im-3m, No. 229. For the total energy, the calculation gives -4.80 eV/atom. As for the density: 10.8 g/cm³.